1.
Here is a relaxed structure of SiPt2W from Alexandria. Energies are from PBE. Values from VASP.

Its density of states at the Fermi level is 1.88 states/eV per cell. The formation energy from raw total energies is -319 meV/atom.

```
&SYSTEM
  ibrav = 0, nat = 4, ntyp = 3
/
ATOMIC_SPECIES
Si 28.09 Si.upf
Pt 195.08 Pt.upf
W 183.84 W.upf
ATOMIC_POSITIONS angstrom
Si 0.000 0.000 0.000
Pt -0.004 0.000 2.490
Pt 1.425 1.967 4.006
W 1.425 1.967 1.190
CELL_PARAMETERS angstrom
2.861 0.000 0.000
0.000 3.934 0.000
-1.429 0.000 5.376
```

=====

2.
Here is a relaxed structure of BaSnGePt3 from Alexandria. Energies are from PBE. Values from VASP.

As for the formation energy from the elements: -0.643 eV/atom. Its density of states at the Fermi level is 4.11 states/eV per cell.

```
&SYSTEM
  ibrav = 0, nat = 12, ntyp = 4
/
ATOMIC_SPECIES
Ba 137.33 Ba.upf
Sn 118.71 Sn.upf
Ge 72.64 Ge.upf
Pt 195.08 Pt.upf
ATOMIC_POSITIONS angstrom
Ba 3.577 3.960 4.446
Ba 3.577 -3.960 1.482
Sn 3.577 0.867 1.482
Sn 3.577 -0.867 4.446
Ge 3.577 5.902 1.482
Ge 3.577 -5.902 4.446
Pt 1.483 0.000 0.000
Pt 1.483 0.000 2.964
Pt 3.577 3.485 1.482
Pt 3.577 -3.485 4.446
Pt 5.670 0.000 0.000
Pt 5.670 0.000 2.964
CELL_PARAMETERS angstrom
3.577 -7.240 0.000
3.577 7.240 0.000
0.000 0.000 5.928
```

=====

3.
Here is a relaxed structure of Cs3Th3MgS8 from Alexandria. Energies are from PBE. Values from VASP.

Its density of states at the Fermi level is 6.02 states/eV per cell. The formation energy from raw total energies is -1667 meV/atom.

```
&SYSTEM
  ibrav = 0, nat = 15, ntyp = 4
/
ATOMIC_SPECIES
Cs 132.91 Cs.upf
Th 232.04 Th.upf
Mg 24.30 Mg.upf
S 32.06 S.upf
ATOMIC_POSITIONS angstrom
Cs -2.062 -1.190 8.229
Cs -2.062 1.190 16.457
Cs 0.000 2.381 8.229
Th -4.124 0.000 12.343
Th -2.062 1.190 4.114
Th 2.062 1.190 4.114
Mg 0.000 0.000 12.343
S 0.000 0.000 5.689
S -2.019 -1.166 13.781
S 0.000 -2.331 10.905
S -2.019 1.166 10.905
S 2.019 -1.166 13.781
S 0.000 2.331 13.781
S 2.019 1.166 10.905
S 0.000 0.000 18.997
CELL_PARAMETERS angstrom
4.124 2.381 8.229
-4.124 2.381 8.229
0.000 -4.762 8.229
```

=====

4.
Here is a relaxed structure of Ru2SeS from Alexandria. Energies are from PBE. Values from VASP.

Its energy above the lowest structure with this stoichiometry is 288.4 meV per atom. Its density of states at the Fermi level is 4.15 states/eV per cell. The formation energy from raw total energies is 252 meV/atom.

```
&SYSTEM
  ibrav = 0, nat = 4, ntyp = 3
/
ATOMIC_SPECIES
Ru 101.07 Ru.upf
Se 78.96 Se.upf
S 32.06 S.upf
ATOMIC_POSITIONS angstrom
Ru 1.533 1.533 1.533
Ru 4.600 4.600 4.600
Se 0.000 0.000 0.000
S 3.067 3.067 3.067
CELL_PARAMETERS angstrom
0.000 3.067 3.067
3.067 0.000 3.067
3.067 3.067 0.000
```

=====

5.
Here is a relaxed structure of KYPO2 from Alexandria. Energies are from PBE. Values from VASP.

Its energy above the lowest structure with this stoichiometry is 1246.7 meV per atom. Its density of states at the Fermi level is 2.98 states/eV per cell. The formation energy from raw total energies is 129 meV/atom.

```
&SYSTEM
  ibrav = 0, nat = 5, ntyp = 4
/
ATOMIC_SPECIES
K 39.10 K.upf
Y 88.91 Y.upf
P 30.97 P.upf
O 16.00 O.upf
ATOMIC_POSITIONS angstrom
K 0.000 0.000 0.000
Y 2.214 2.214 2.513
P 0.000 0.000 2.513
O 0.000 2.214 0.000
O 2.214 0.000 0.000
CELL_PARAMETERS angstrom
4.428 0.000 0.000
0.000 4.428 0.000
0.000 0.000 5.026
```

=====

6.
Here is a relaxed structure of HoErTh2 from Alexandria. Energies are from PBE. Values from VASP.

Its energy above the lowest structure with this stoichiometry is 7.6 meV per atom. As for the formation energy from the elements: 0.038 eV/atom. Its density of states at the Fermi level is 6.18 states/eV per cell.

```
&SYSTEM
  ibrav = 0, nat = 4, ntyp = 3
/
ATOMIC_SPECIES
Ho 164.93 Ho.upf
Er 167.26 Er.upf
Th 232.04 Th.upf
ATOMIC_POSITIONS angstrom
Ho 0.000 0.000 0.000
Er 0.000 0.000 5.893
Th 0.000 0.000 20.280
Th 0.000 0.000 26.055
CELL_PARAMETERS angstrom
1.775 1.025 11.555
-1.775 1.025 11.555
0.000 -2.050 11.555
```